1.
This record from Alexandria describes Zn8Pt after structural relaxation. The functional is GGA-PBE.

CIF file:
```
data_Zn8Pt
_space_group_name_H-M_alt 'I 4/m m m'
_space_group_IT_number 139
_space_group_name_Hall '-I 4 2'
_cell_length_a 8.237
_cell_length_b 8.237
_cell_length_c 3.889
_cell_angle_alpha 90.00
_cell_angle_beta 90.00
_cell_angle_gamma 90.00
loop_
_atom_site_label
_atom_site_fract_x
_atom_site_fract_y
_atom_site_fract_z
Zn1 0.000 0.334 0.000
Zn2 0.166 0.166 0.500
Pt1 0.000 0.000 0.000
```

***

2.
This record from Alexandria describes Li2TaW after structural relaxation. The functional is GGA-PBE.

CIF file:
```
data_Li2TaW
_space_group_name_H-M_alt 'R 3 m'
_space_group_IT_number 160
_space_group_name_Hall 'R 3 -2"'
_cell_length_a 2.8093
_cell_length_b 2.8093
_cell_length_c 30.4562
_cell_angle_alpha 90.00
_cell_angle_beta 90.00
_cell_angle_gamma 120.00
loop_
_atom_site_label
_atom_site_fract_x
_atom_site_fract_y
_atom_site_fract_z
Li1 0.0000 0.0000 0.0000
Li2 0.0000 0.0000 0.2467
Ta1 0.0000 0.0000 0.4953
W1 0.0000 0.0000 0.7461
```

***

3.
This record from Alexandria describes Li2YRe after structural relaxation. The functional is GGA-PBE.

CIF file:
```
data_Li2YRe
_space_group_name_H-M_alt 'I -4 m 2'
_space_group_IT_number 119
_space_group_name_Hall 'I -4 -2'
_cell_length_a 4.098
_cell_length_b 4.098
_cell_length_c 8.470
_cell_angle_alpha 90.00
_cell_angle_beta 90.00
_cell_angle_gamma 90.00
loop_
_atom_site_label
_atom_site_fract_x
_atom_site_fract_y
_atom_site_fract_z
Li1 0.000 0.000 0.000
Li2 0.000 0.500 0.250
Y1 0.000 0.000 0.500
Re1 0.000 0.500 0.750
```

***

4.
This record from Alexandria describes Li4AcIn4 after structural relaxation. The functional is GGA-PBE.

CIF file:
```
data_Li4AcIn4
_space_group_name_H-M_alt 'P 42/n m c'
_space_group_IT_number 137
_cell_length_a 6.642
_cell_length_b 6.642
_cell_length_c 9.418
_cell_angle_alpha 90.00
_cell_angle_beta 90.00
_cell_angle_gamma 90.00
loop_
_space_group_symop_operation_xyz
'x,y,z'
'-x,-y,-z'
'-y+1/2,x,z+1/2'
'y+1/2,-x,-z+1/2'
'-x+1/2,-y+1/2,z'
'x+1/2,y+1/2,-z'
'y,-x+1/2,z+1/2'
'-y,x+1/2,-z+1/2'
'x+1/2,-y,-z'
'-x+1/2,y,z'
'-y,-x,-z+1/2'
'y,x,z+1/2'
'-x,y+1/2,-z'
'x,-y+1/2,z'
'y+1/2,x+1/2,-z+1/2'
'-y+1/2,-x+1/2,z+1/2'
loop_
_atom_site_label
_atom_site_fract_x
_atom_site_fract_y
_atom_site_fract_z
Li1 0.048 0.250 0.116
Ac1 0.250 0.750 0.250
In1 0.024 0.250 0.404
```

***

Computed values of DFT formation energy (unit: eV/atom) for the preceding records, in sequence: -0.132; 0.358; 0.537; -0.230.
Computed values of E (unit: eV per formula unit) for the preceding records, in sequence: -17.42; -27.20; -20.59; -24.79.